Crystalline Mg7Cd2Hg2 at its relaxed geometry, computed with PBE-GGA.

Cell lengths 4.6633, 7.6568, 8.1247 Å; angles 118.11, 106.68, 90.00 degrees
Fractional coordinates of all 11 atoms:
1 Mg 0.1616 0.0609 0.3233
2 Mg 0.1443 0.4693 0.2887
3 Mg 0.5000 0.9482 0.0000
4 Mg 0.3489 0.4782 0.6978
5 Mg 0.6511 0.7804 0.3022
6 Mg 0.8384 0.7376 0.6767
7 Mg 0.8557 0.1806 0.7113
8 Cd 0.0000 0.6377 0.0000
9 Cd 0.5000 0.3450 0.0000
10 Hg 0.3011 0.9092 0.6023
11 Hg 0.6989 0.3069 0.3977

Calculated values
- formation energy (eV per atom) = -0.129
- polymorph energy (0 for the lowest one) (eV per atom) = 0.000
- energy (eV/cell) = -15.010
- crystal system = orthorhombic

=====

Crystalline Mg4Cd3Hg2 at its relaxed geometry, computed with PBE-GGA.

Cell lengths 4.9892, 4.9893, 9.1294 Å; angles 89.99, 90.00, 59.99 degrees
Fractional coordinates of all 9 atoms:
1 Mg 0.6666 0.6668 0.8740
2 Mg 0.0001 0.9999 0.3288
3 Mg 0.9999 0.0001 0.6712
4 Mg 0.3334 0.3332 0.1260
5 Cd 0.3334 0.3333 0.4645
6 Cd 0.0000 0.0000 0.0000
7 Cd 0.6666 0.6667 0.5355
8 Hg 0.3332 0.3336 0.8016
9 Hg 0.6668 0.6664 0.1984

Calculated values
- formation energy (eV per atom) = -0.121
- energy (eV/cell) = -10.813
- crystal system = trigonal

=====

Crystalline Mg2Cd2Hg at its relaxed geometry, computed with PBE-GGA.

Cell lengths 4.2200, 4.2200, 7.6108 Å; angles 73.90, 73.90, 90.00 degrees
Fractional coordinates of all 5 atoms:
1 Mg 0.7500 0.2500 0.5000
2 Mg 0.2500 0.7500 0.5000
3 Hg 0.0000 0.0000 0.0000
4 Cd 0.4001 0.4001 0.1999
5 Cd 0.5999 0.5999 0.8001

Calculated values
- formation energy (eV per atom) = 0.086
- polymorph energy (0 for the lowest one) (eV per atom) = 0.194
- energy (eV/cell) = -4.891
- crystal system = tetragonal

=====

Crystalline MgCd3Hg7 at its relaxed geometry, computed with PBE-GGA.

Cell lengths 5.6816, 7.7471, 7.7471 Å; angles 91.83, 111.98, 111.98 degrees
Fractional coordinates of all 11 atoms:
1 Mg 0.5000 0.5000 0.5000
2 Cd 0.0000 0.7629 0.2371
3 Cd 0.5000 0.0000 0.0000
4 Cd 0.0000 0.2371 0.7629
5 Hg 0.1854 0.1826 0.1826
6 Hg 0.3307 0.0713 0.5914
7 Hg 0.6693 0.4086 0.9287
8 Hg 0.3307 0.5914 0.0713
9 Hg 0.0000 0.5000 0.5000
10 Hg 0.6693 0.9287 0.4086
11 Hg 0.8146 0.8174 0.8174

Calculated values
- formation energy (eV per atom) = 0.016
- polymorph energy (0 for the lowest one) (eV per atom) = 0.010
- energy (eV/cell) = -6.279
- crystal system = monoclinic

=====

Crystalline Mg6CdHg5 at its relaxed geometry, computed with PBE-GGA.

Cell lengths 4.8231, 7.4201, 7.5522 Å; angles 90.00, 108.16, 90.00 degrees
Fractional coordinates of all 12 atoms:
1 Mg 0.8311 0.7516 0.6619
2 Mg 0.8311 0.2484 0.6619
3 Mg 0.5000 0.2620 0.0000
4 Mg 0.5000 0.7380 0.0000
5 Mg 0.1689 0.7516 0.3381
6 Mg 0.1689 0.2484 0.3381
7 Hg 0.6683 0.5000 0.3366
8 Hg 0.3422 0.0000 0.6824
9 Hg 0.0000 0.5000 0.0000
10 Hg 0.6578 0.0000 0.3176
11 Hg 0.3317 0.5000 0.6634
12 Cd 0.0000 0.0000 0.0000

Calculated values
- formation energy (eV per atom) = -0.205
- energy (eV/cell) = -14.457
- crystal system = monoclinic

=====

Crystalline MgCd7Hg2 at its relaxed geometry, computed with PBE-GGA.

Cell lengths 3.0985, 9.9263, 9.9263 Å; angles 122.81, 90.00, 90.00 degrees
Fractional coordinates of all 10 atoms:
1 Mg 0.0000 0.0000 0.0000
2 Cd 0.0000 0.8196 0.1804
3 Cd 0.0000 0.1804 0.8196
4 Cd 0.5000 0.1370 0.3198
5 Cd 0.5000 0.8630 0.6802
6 Cd 0.5000 0.3198 0.1370
7 Cd 0.5000 0.6802 0.8630
8 Cd 0.5000 0.5000 0.5000
9 Hg 0.5000 0.6736 0.3264
10 Hg 0.5000 0.3264 0.6736

Calculated values
- formation energy (eV per atom) = 0.036
- energy (eV/cell) = -8.243
- crystal system = orthorhombic

=====

Crystalline Mg4Cd3Hg4 at its relaxed geometry, computed with PBE-GGA.

Cell lengths 3.2160, 9.5687, 9.4553 Å; angles 120.47, 90.01, 90.00 degrees
Fractional coordinates of all 11 atoms:
1 Mg 0.5000 0.2491 0.4995
2 Mg 0.5000 0.7509 0.5005
3 Mg 0.5000 0.7687 0.9999
4 Mg 0.5000 0.2313 0.0001
5 Cd 0.9995 0.9086 0.8177
6 Cd 0.0005 0.0914 0.1823
7 Cd 0.0000 0.5000 0.0000
8 Hg 0.0000 0.4500 0.3134
9 Hg 0.9999 0.1362 0.6870
10 Hg 0.0000 0.5500 0.6866
11 Hg 0.0001 0.8638 0.3130

Calculated values
- formation energy (eV per atom) = -0.111
- polymorph energy (0 for the lowest one) (eV per atom) = 0.000
- energy (eV/cell) = -11.547
- crystal system = monoclinic

=====

Crystalline Mg3Cd2Hg6 at its relaxed geometry, computed with PBE-GGA.

Cell lengths 4.6504, 4.6504, 13.5734 Å; angles 99.86, 99.86, 90.00 degrees
Fractional coordinates of all 11 atoms:
1 Mg 0.0000 0.0000 0.0000
2 Mg 0.8642 0.8642 0.7285
3 Mg 0.1358 0.1358 0.2715
4 Cd 0.3530 0.3530 0.7060
5 Cd 0.6470 0.6470 0.2940
6 Hg 0.0651 0.5651 0.1302
7 Hg 0.5651 0.0651 0.1302
8 Hg 0.9349 0.4349 0.8698
9 Hg 0.4349 0.9349 0.8698
10 Hg 0.7576 0.7576 0.5152
11 Hg 0.2424 0.2424 0.4848

Calculated values
- formation energy (eV per atom) = -0.035
- polymorph energy (0 for the lowest one) (eV per atom) = 0.034
- energy (eV/cell) = -8.811
- crystal system = tetragonal

=====

Crystalline MgCd3Hg at its relaxed geometry, computed with PBE-GGA.

Cell lengths 5.1432, 6.6615, 7.2162 Å; angles 90.00, 111.42, 90.00 degrees
Fractional coordinates of all 10 atoms:
1 Mg 0.0076 0.7500 0.0047
2 Mg 0.9924 0.2500 0.9953
3 Cd 0.1855 0.0050 0.3742
4 Cd 0.8145 0.5050 0.6258
5 Cd 0.8145 0.9950 0.6258
6 Cd 0.1855 0.4950 0.3742
7 Cd 0.6171 0.2500 0.2400
8 Cd 0.3829 0.7500 0.7600
9 Hg 0.3896 0.2500 0.7888
10 Hg 0.6104 0.7500 0.2112

Calculated values
- formation energy (eV per atom) = -0.029
- polymorph energy (0 for the lowest one) (eV per atom) = 0.031
- energy (eV/cell) = -9.574
- crystal system = monoclinic

=====

Crystalline MgCd11Hg17 at its relaxed geometry, computed with PBE-GGA.

Cell lengths 9.1178, 9.9337, 10.2472 Å; angles 109.50, 105.13, 112.21 degrees
Fractional coordinates of all 29 atoms:
1 Mg 0.3570 0.3459 0.1724
2 Cd 0.1949 0.1853 0.7690
3 Cd 0.6187 0.8228 0.0146
4 Cd 0.2045 0.3913 0.4135
5 Cd 0.7792 0.9983 0.5994
6 Cd 0.6129 0.0157 0.8342
7 Cd 0.8065 0.2114 0.1905
8 Cd 0.2007 0.8098 0.1643
9 Cd 0.9894 0.6197 0.7949
10 Cd 0.9934 0.7958 0.5858
11 Cd 0.3947 0.1909 0.4119
12 Cd 0.8101 0.6266 0.0058
13 Hg 0.0047 0.9998 0.4029
14 Hg 0.6700 0.6659 0.2475
15 Hg 0.7482 0.7682 0.7436
16 Hg 0.4525 0.4515 0.7213
17 Hg 0.0288 0.0319 0.1196
18 Hg 0.2816 0.5557 0.9751
19 Hg 0.4203 0.6872 0.3914
20 Hg 0.9692 0.3137 0.5687
21 Hg 0.0026 0.2627 0.9694
22 Hg 0.2842 0.6941 0.6970
23 Hg 0.5887 0.0052 0.3011
24 Hg 0.0097 0.5693 0.2677
25 Hg 0.7014 0.2894 0.7218
26 Hg 0.2711 0.9921 0.9582
27 Hg 0.3293 0.9580 0.5525
28 Hg 0.7069 0.4365 0.4109
29 Hg 0.5691 0.3053 0.9950

Calculated values
- formation energy (eV per atom) = 0.014
- energy (eV/cell) = -16.399
- crystal system = triclinic

=====

Crystalline Mg4CdHg7 at its relaxed geometry, computed with PBE-GGA.

Cell lengths 5.9982, 8.5703, 10.0898 Å; angles 58.42, 39.99, 57.69 degrees
Fractional coordinates of all 12 atoms:
1 Mg 0.5522 0.3305 0.6692
2 Mg 0.4478 0.6695 0.3308
3 Mg 0.7045 0.6742 0.8704
4 Mg 0.2955 0.3258 0.1296
5 Cd 0.0000 0.0000 0.0000
6 Hg 0.7550 0.9649 0.5181
7 Hg 0.2450 0.0351 0.4819
8 Hg 0.9632 0.6357 0.3233
9 Hg 0.0368 0.3643 0.6767
10 Hg 0.2551 0.6666 0.8244
11 Hg 0.5000 0.0000 0.0000
12 Hg 0.7449 0.3334 0.1756

Calculated values
- formation energy (eV per atom) = -0.114
- polymorph energy (0 for the lowest one) (eV per atom) = 0.000
- energy (eV/cell) = -10.774
- crystal system = triclinic

=====

Crystalline MgCd2Hg at its relaxed geometry, computed with PBE-GGA.

Cell lengths 3.4086, 3.4086, 9.5125 Å; angles 80.24, 80.24, 59.49 degrees
Fractional coordinates of all 4 atoms:
1 Mg 0.4995 0.4995 0.5000
2 Cd 0.0871 0.0871 0.7463
3 Cd 0.2465 0.2465 0.2539
4 Hg 0.6668 0.6668 0.9998

Calculated values
- formation energy (eV per atom) = -0.009
- polymorph energy (0 for the lowest one) (eV per atom) = 0.071
- energy (eV/cell) = -3.761
- crystal system = monoclinic

=====

Crystalline MgCd2Hg at its relaxed geometry, computed with PBE-GGA.

Cell lengths 5.3529, 3.3256, 5.1246 Å; angles 92.50, 90.00, 90.00 degrees
Fractional coordinates of all 4 atoms:
1 Mg 0.5000 0.7500 0.7500
2 Hg 0.5000 0.2500 0.2500
3 Cd 0.0000 0.0135 0.9963
4 Cd 0.0000 0.4865 0.5037

Calculated values
- formation energy (eV per atom) = -0.062
- polymorph energy (0 for the lowest one) (eV per atom) = 0.017
- energy (eV/cell) = -3.975
- crystal system = monoclinic

=====

Crystalline Mg2Cd3Hg2 at its relaxed geometry, computed with PBE-GGA.

Cell lengths 3.1898, 3.3135, 15.1173 Å; angles 83.71, 90.00, 90.00 degrees
Fractional coordinates of all 7 atoms:
1 Mg 0.0000 0.1410 0.7180
2 Mg 0.0000 0.8590 0.2820
3 Cd 0.5000 0.4282 0.1437
4 Cd 0.5000 0.5718 0.8563
5 Cd 0.0000 0.0000 0.0000
6 Hg 0.5000 0.2935 0.4131
7 Hg 0.5000 0.7065 0.5869

Calculated values
- formation energy (eV per atom) = -0.074
- polymorph energy (0 for the lowest one) (eV per atom) = 0.003
- energy (eV/cell) = -7.058
- crystal system = orthorhombic

=====

Crystalline MgCd2Hg at its relaxed geometry, computed with PBE-GGA.

Cell lengths 6.1984, 6.1984, 6.1984 Å; angles 148.18, 133.36, 57.57 degrees
Fractional coordinates of all 4 atoms:
1 Mg 0.2500 0.7500 0.5000
2 Hg 0.7500 0.2500 0.5000
3 Cd 0.0041 0.0041 0.0000
4 Cd 0.4959 0.4959 0.0000

Calculated values
- formation energy (eV per atom) = -0.057
- polymorph energy (0 for the lowest one) (eV per atom) = 0.022
- energy (eV/cell) = -3.956
- crystal system = orthorhombic

=====

Crystalline Mg4Cd4Hg3 at its relaxed geometry, computed with PBE-GGA.

Cell lengths 3.8305, 3.7313, 17.1362 Å; angles 96.54, 95.81, 89.82 degrees
Fractional coordinates of all 11 atoms:
1 Mg 0.5432 0.5438 0.0902
2 Mg 0.4568 0.4562 0.9098
3 Mg 0.8193 0.8193 0.6392
4 Mg 0.1807 0.1807 0.3608
5 Cd 0.0891 0.0913 0.1819
6 Cd 0.2714 0.2713 0.5435
7 Cd 0.7286 0.7287 0.4565
8 Cd 0.9109 0.9088 0.8181
9 Hg 0.6356 0.6368 0.2740
10 Hg 0.3643 0.3633 0.7260
11 Hg 0.0000 0.0000 0.0000

Calculated values
- formation energy (eV per atom) = -0.105
- energy (eV/cell) = -12.102
- crystal system = triclinic

=====

Crystalline MgCd4Hg6 at its relaxed geometry, computed with PBE-GGA.

Cell lengths 5.9961, 8.8071, 5.9961 Å; angles 70.10, 90.00, 109.90 degrees
Fractional coordinates of all 11 atoms:
1 Mg 0.0000 0.0000 0.0000
2 Cd 0.5488 0.7310 0.4512
3 Cd 0.8178 0.2690 0.5488
4 Cd 0.1822 0.7310 0.8178
5 Cd 0.4512 0.2690 0.1822
6 Hg 0.3662 0.3459 0.6338
7 Hg 0.9797 0.3459 0.0203
8 Hg 0.6338 0.6541 0.9797
9 Hg 0.0000 0.0000 0.5000
10 Hg 0.0203 0.6541 0.3662
11 Hg 0.5000 0.0000 0.0000

Calculated values
- formation energy (eV per atom) = -0.001
- energy (eV/cell) = -7.081
- crystal system = tetragonal

=====

Crystalline Mg2CdHg3 at its relaxed geometry, computed with PBE-GGA.

Cell lengths 9.4149, 7.0081, 9.9608 Å; angles 56.30, 34.30, 47.80 degrees
Fractional coordinates of all 12 atoms:
1 Mg 0.0000 0.0000 0.0000
2 Mg 0.0000 0.0000 0.5000
3 Mg 0.3263 0.3474 0.5000
4 Mg 0.6737 0.6526 0.5000
5 Cd 0.3356 0.3289 0.0000
6 Cd 0.6644 0.6711 0.0000
7 Hg 0.8450 0.3259 0.7432
8 Hg 0.5072 0.0000 0.2562
9 Hg 0.1550 0.6741 0.2568
10 Hg 0.8292 0.3259 0.2568
11 Hg 0.1708 0.6741 0.7432
12 Hg 0.4928 0.0000 0.7438

Calculated values
- formation energy (eV per atom) = -0.116
- polymorph energy (0 for the lowest one) (eV per atom) = 0.000
- energy (eV/cell) = -11.409
- crystal system = monoclinic

=====

Crystalline Mg7Cd2Hg at its relaxed geometry, computed with PBE-GGA.

Cell lengths 8.3397, 8.8428, 8.0313 Å; angles 71.56, 58.72, 61.86 degrees
Fractional coordinates of all 20 atoms:
1 Mg 0.6520 0.5709 0.8425
2 Mg 0.9347 0.0709 0.3425
3 Mg 0.2504 0.9249 0.9035
4 Mg 0.4334 0.1932 0.5305
5 Mg 0.6350 0.2500 0.7500
6 Mg 0.9212 0.4249 0.4035
7 Mg 0.1571 0.3068 0.9695
8 Mg 0.8429 0.6932 0.0305
9 Mg 0.0788 0.5751 0.5965
10 Mg 0.3650 0.7500 0.2500
11 Mg 0.5666 0.8068 0.4695
12 Mg 0.7496 0.0751 0.0965
13 Mg 0.0653 0.9291 0.6575
14 Mg 0.3480 0.4291 0.1575
15 Cd 0.6707 0.9102 0.7438
16 Cd 0.6753 0.4102 0.2438
17 Cd 0.3247 0.5898 0.7562
18 Cd 0.3293 0.0898 0.2562
19 Hg 0.0005 0.2500 0.7500
20 Hg 0.9995 0.7500 0.2500

Calculated values
- formation energy (eV per atom) = -0.094
- energy (eV/cell) = -28.465
- crystal system = monoclinic

=====

Crystalline Mg2Cd2Hg5 at its relaxed geometry, computed with PBE-GGA.

Cell lengths 7.5789, 7.6437, 8.5439 Å; angles 116.57, 90.00, 90.00 degrees
Fractional coordinates of all 18 atoms:
1 Mg 0.6482 0.8506 0.0000
2 Mg 0.3518 0.1494 0.0000
3 Mg 0.1482 0.6494 0.0000
4 Mg 0.8518 0.3506 0.0000
5 Cd 0.0000 0.2008 0.4016
6 Cd 0.5000 0.7008 0.4016
7 Cd 0.0000 0.7992 0.5984
8 Cd 0.5000 0.2992 0.5984
9 Hg 0.0000 0.0000 0.0000
10 Hg 0.5000 0.5000 0.0000
11 Hg 0.8490 0.7856 0.2688
12 Hg 0.1510 0.4832 0.2688
13 Hg 0.3490 0.9832 0.2688
14 Hg 0.6510 0.2856 0.2688
15 Hg 0.1510 0.2144 0.7312
16 Hg 0.8490 0.5168 0.7312
17 Hg 0.6510 0.0168 0.7312
18 Hg 0.3490 0.7144 0.7312

Calculated values
- formation energy (eV per atom) = -0.048
- polymorph energy (0 for the lowest one) (eV per atom) = 0.000
- energy (eV/cell) = -13.915
- crystal system = orthorhombic